This record from Alexandria describes an optimized crystal structure of KAc2IrO5. The functional is PBE.

abc: 4.181 6.355 11.601
angles: 90.00 90.00 90.00
Space group Immm (No. 71)
One atom of each set of equivalent atoms:
K1 0.000 0.000 0.000
Ac1 0.000 0.500 0.211
Ir1 0.000 0.000 0.500
O1 0.000 0.220 0.360
O2 0.000 0.500 0.000

Results
- final energy (eV per atom) = -6.974
- Fermi-level density of states (states/eV/cell) = 3.368
- formation energy without anion corrections (eV/atom) = -2.200
- crystal system = orthorhombic